No. 1
Entry from the Alexandria database: crystalline Sc2AlMoC at its relaxed geometry (PBE).

The calculation puts the calculated formation energy at -398.1 meV/atom.

The structure belongs to space group P4/mmm (No. 123); the cell edges are 4.497, 4.497 and 4.122 Å and the angles 90.00°, 90.00° and 90.00°. The asymmetric unit holds Sc at (0.000, 0.500, 0.000), Al at (0.000, 0.000, 0.500), Mo at (0.500, 0.500, 0.500) and C at (0.500, 0.500, 0.000).

***

No. 2
Entry from the Alexandria database: crystalline ZnAgHg2 at its relaxed geometry (PBE).

The calculation puts the calculated formation energy at 116.0 meV/atom.

The structure belongs to space group C2/m (No. 12); the cell edges are 9.490, 3.255 and 5.451 Å and the angles 90.00°, 102.73° and 90.00°. The asymmetric unit holds Zn at (0.000, 0.000, 0.000), Ag at (0.000, 0.500, 0.500) and Hg at (0.245, 0.500, 0.245).

***

No. 3
Entry from the Alexandria database: crystalline Tb3Ga2Ag at its relaxed geometry (PBE).

The calculation puts the calculated formation energy at -489.6 meV/atom.

The structure belongs to space group P-3m1 (No. 164); the cell edges are 5.1139, 5.1139 and 12.5748 Å and the angles 90.00°, 90.00° and 120.00°. The asymmetric unit holds Tb at (0.0000, 0.0000, 0.2448), Tb at (0.3333, 0.6667, 0.4162), Tb at (0.3333, 0.6667, 0.9203), Ga at (0.0000, 0.0000, 0.0000), Ga at (0.0000, 0.0000, 0.5000), Ga at (0.3333, 0.6667, 0.1714) and Ag at (0.3333, 0.6667, 0.6727).

***

No. 4
Entry from the Alexandria database: crystalline Tm2Th2Pb at its relaxed geometry (PBE).

The calculation puts the calculated formation energy at 412.8 meV/atom.

The structure belongs to space group I4/mmm (No. 139); the cell edges are 4.526, 4.526 and 16.311 Å and the angles 90.00°, 90.00° and 90.00°. The asymmetric unit holds Tm at (0.000, 0.000, 0.092), Th at (0.000, 0.500, 0.250) and Pb at (0.000, 0.000, 0.500).

***

No. 5
Entry from the Alexandria database: crystalline Pm3Nd2Ga3 at its relaxed geometry (PBE).

The calculation puts the calculated formation energy at -406.2 meV/atom.

The structure belongs to space group Immm (No. 71); the cell edges are 3.759, 5.245 and 22.248 Å and the angles 90.00°, 90.00° and 90.00°. The asymmetric unit holds Pm at (0.000, 0.000, 0.000), Pm at (0.000, 0.500, 0.115), Nd at (0.000, 0.000, 0.227), Ga at (0.000, 0.000, 0.500) and Ga at (0.000, 0.500, 0.384).

***

No. 6
Entry from the Alexandria database: crystalline Pm5Sm12In2 at its relaxed geometry (PBE).

The calculation puts the calculated formation energy at -17.5 meV/atom.

The structure belongs to space group C2/m (No. 12); the cell edges are 15.620, 9.395 and 8.587 Å and the angles 90.00°, 93.00° and 90.00°. The asymmetric unit holds Pm at (0.000, 0.000, 0.000), Pm at (0.191, 0.500, 0.512), Pm at (0.232, 0.000, 0.080), Sm at (0.055, 0.500, 0.824), Sm at (0.079, 0.000, 0.384), Sm at (0.125, 0.306, 0.169), Sm at (0.146, 0.185, 0.736) and In at (0.000, 0.323, 0.500).